Zr2BiSe2: relaxed, PBE-GGA.

Calculated values
Total DFT energy (no corrections) ... -62.19 eV per cell
V ... 24.895 A^3/atom

Cell: 4.4106 4.4106 12.7973 Å, 90.00 90.00 90.00°
Closest atoms and distances in Å follow each position.
Space group I4/mmm (No. 139)
One atom of each set of equivalent atoms:
Zr 0.0000 0.0000 0.1260 x4  4 Se 2.72
Bi 0.0000 0.0000 0.5000 x2  8 Zr 3.51, 8 Se 3.89
Se 0.0000 0.5000 0.2500 x4  4 Zr 2.72

=====

Ac2Pr2CoPt2: relaxed, PBE-GGA.

Calculated values
Total DFT energy (no corrections) ... -82.38 eV per cell
Energy of formation from the pure elements ... -604 meV per atom
V ... 29.552 A^3/atom

Cell: 14.4089 4.1292 7.9500 Å, 90.00 118.99 90.00°
Closest atoms and distances in Å follow each position.
Space group C2/m (No. 12)
One atom of each set of equivalent atoms:
Ac 0.0364 0.0000 0.2727 x4  2 Co 2.95, 4 Pt 3.22-3.29
Pr 0.2103 0.5000 0.7787 x4  1 Co 2.75, 3 Pt 2.98-3.03
Co 0.0000 0.5000 0.5000 x2  2 Pr 2.75, 4 Ac 2.95
Pt 0.1200 0.5000 0.0522 x4  3 Pr 2.98-3.03, 1 Pt 3.14, 4 Ac 3.22-3.29

=====

Tb3ZrRh4: relaxed, PBE-GGA.

Calculated values
Total DFT energy (no corrections) ... -58.46 eV per cell
Energy of formation from the pure elements ... -827 meV per atom
V ... 19.826 A^3/atom

Cell: 3.3641 3.3641 14.0149 Å, 90.00 90.00 90.00°
Closest atoms and distances in Å follow each position.
Space group P4/mmm (No. 123)
One atom of each set of equivalent atoms:
Tb 0.0000 0.0000 0.0000 x1  8 Rh 2.98
Tb 0.0000 0.0000 0.2535 x2  8 Rh 2.96-3.05
Zr 0.0000 0.0000 0.5000 x1  8 Rh 2.84
Rh 0.5000 0.5000 0.1281 x2  8 Tb 2.96-2.98
Rh 0.5000 0.5000 0.3896 x2  4 Zr 2.84, 4 Tb 3.05, 1 Rh 3.09

=====

TmScHgIr: relaxed, PBE-GGA.

Calculated values
Total DFT energy (no corrections) ... -89.98 eV per cell
Energy of formation from the pure elements ... -632 meV per atom
V ... 20.428 A^3/atom

Cell: 6.8883 6.8883 6.8883 Å, 90.00 90.00 90.00°
Closest atoms and distances in Å follow each position.
Space group F-43m (No. 216)
One atom of each set of equivalent atoms:
Tm 0.0000 0.0000 0.0000 x4  4 Ir 2.98, 4 Hg 2.98
Sc 0.0000 0.0000 0.5000 x4  4 Hg 2.98, 4 Ir 2.98
Hg 0.2500 0.2500 0.7500 x4  4 Tm 2.98, 4 Sc 2.98
Ir 0.2500 0.2500 0.2500 x4  4 Sc 2.98, 4 Tm 2.98

=====

ScTe4As: relaxed, PBE-GGA.

Calculated values
Total DFT energy (no corrections) ... -84.11 eV per cell
V ... 28.205 A^3/atom

Cell: 8.7804 8.7804 8.7804 Å, 90.00 90.00 90.00°
Closest atoms and distances in Å follow each position.
Space group F-43m (No. 216)
One atom of each set of equivalent atoms:
Sc 0.0000 0.0000 0.0000 x4  12 Te 3.64, 4 As 3.80
Te 0.1250 0.1250 0.6250 x16  6 Te 3.10-3.11
As 0.2500 0.2500 0.2500 x4  12 Te 3.64, 4 Sc 3.80

=====

MnCdNi4: relaxed, PBE-GGA.

Calculated values
Total DFT energy (no corrections) ... -132.76 eV per cell
Energy of formation from the pure elements ... 3 meV per atom
V ... 12.997 A^3/atom

Cell: 6.7819 6.7819 6.7819 Å, 90.00 90.00 90.00°
Closest atoms and distances in Å follow each position.
Space group F-43m (No. 216)
One atom of each set of equivalent atoms:
Mn 0.0000 0.0000 0.0000 x4  12 Ni 2.81, 4 Cd 2.94
Cd 0.2500 0.2500 0.2500 x4  12 Ni 2.81, 4 Mn 2.94
Ni 0.1251 0.1251 0.6251 x16  6 Ni 2.39-2.40